Entry from the Alexandria database: a PBEsol-optimized structure of MnAl (meta-GGA SCAN).

a = 4.197 Å, b = 4.756 Å, c = 5.095 Å
α = 90.00°, β = 90.00°, γ = 90.00°
Site moments in Bohr magnetons follow the coordinates.
Atoms (fractional coordinates):
Al 0.250 0.895 0.877  -0.08
Al 0.750 0.105 0.123  -0.08
Al 0.750 0.605 0.377  -0.08
Al 0.250 0.395 0.623  -0.08
Mn 0.750 0.592 0.879  2.97
Mn 0.750 0.092 0.621  2.97
Mn 0.250 0.908 0.379  2.97
Mn 0.250 0.408 0.121  2.97

Calculated total energy ... -13.386 eV per atom
DOS at the Fermi energy ... 3.58 states/eV/cell
ΔE_f ... -0.382 eV/atom
Space-group type ... Pnma (62)